{"formula": "NaCr2GaO8", "functional": "GGA+U", "state": "relaxed", "cell": [[4.3270, -2.7644, 0.0000], [4.3270, 2.7644, 0.0000], [-0.0037, 0.0000, 7.0175]], "species": ["Na", "Cr", "Cr", "Ga", "O", "O", "O", "O", "O", "O", "O", "O"], "fractional_positions": [[0.0000, 0.0000, 0.0000], [0.3591, 0.3591, 0.2768], [0.6409, 0.6409, 0.7232], [0.0000, 0.0000, 0.5000], [0.2160, 0.7233, 0.2966], [0.2263, 0.2263, 0.4466], [0.2767, 0.7840, 0.7034], [0.2788, 0.2788, 0.0693], [0.7212, 0.7212, 0.9307], [0.7233, 0.2160, 0.2966], [0.7737, 0.7737, 0.5534], [0.7840, 0.2767, 0.7034]], "dos_ef_per_ev_cell": 0.000, "m_tot_mub_per_fu": 0.000, "dft_energy_ev_per_cell": -76.08}